Entry 1:
VASP calculation (PBE) on an optimized crystal structure of In2SiC.

- Space-group type: I-42d, No. 122
- M_tot: 0.00 μB/cell
- ΔE_f (raw): 0.9252 eV/atom
- Excess energy over the best structure of this formula in the dataset: 0.00 eV/f.u.

Unit cell a=6.5766 b=6.5766 c=6.5766 alpha=126.90 beta=126.90 gamma=78.41
With the nearest neighbours (Å) after each atom.
Element x y z (fractional)
In1 0.0547 0.6250 0.9297  2 C 2.21
In2 0.3750 0.3047 0.4297  2 C 2.21
In3 0.6953 0.1250 0.0703  2 C 2.21
In4 0.8750 0.9453 0.5703  2 C 2.21
Si1 0.2500 0.7500 0.5000  4 In 2.71
Si2 0.5000 0.5000 0.0000  4 In 2.71
C1 0.0000 0.0000 0.0000  4 In 2.21
C2 0.7500 0.2500 0.5000  4 In 2.21

Entry 2:
VASP calculation (PBE) on an optimized crystal structure of Pr3AgHg4.

- Space-group type: R-3m, No. 166
- M_tot: 0.00 μB/cell
- ΔE_f: -0.39 eV/atom
- Excess energy over the best structure of this formula in the dataset: 0.00 eV/f.u.

Unit cell a=9.6654 b=9.6654 c=9.6654 alpha=31.30 beta=31.30 gamma=31.30
With the nearest neighbours (Å) after each atom.
Element x y z (fractional)
Pr1 0.0000 0.0000 0.0000  8 Hg 3.22-3.46
Pr2 0.2400 0.2400 0.2400  7 Hg 3.14-3.34
Pr3 0.7600 0.7600 0.7600  7 Hg 3.14-3.34
Ag1 0.5000 0.5000 0.5000  8 Hg 3.22-3.46
Hg1 0.1257 0.1257 0.1257  5 Pr 3.14-3.46, 3 Ag 3.22
Hg2 0.3745 0.3745 0.3745  6 Pr 3.22-3.34, 1 Ag 3.46
Hg3 0.6255 0.6255 0.6255  6 Pr 3.22-3.34, 1 Ag 3.46
Hg4 0.8743 0.8743 0.8743  5 Pr 3.14-3.46, 3 Ag 3.22

Entry 3:
VASP calculation (PBE) on an optimized crystal structure of AcDyErTl.

- Space-group type: F-43m, No. 216
- M_tot: 1.17 μB/cell
- ΔE_f: 0.07 eV/atom

Unit cell a=5.6122 b=5.6122 c=5.6122 alpha=60.00 beta=60.00 gamma=60.00
With the nearest neighbours (Å) after each atom.
Element x y z (fractional)
Ac1 0.0000 0.0000 0.0000  4 Dy 3.44, 4 Er 3.44
Dy1 0.7500 0.7500 0.7500  4 Ac 3.44, 4 Tl 3.44
Er1 0.2500 0.2500 0.2500  4 Tl 3.44, 4 Ac 3.44
Tl1 0.5000 0.5000 0.5000  4 Dy 3.44, 4 Er 3.44

Entry 4:
VASP calculation (PBE) on an optimized crystal structure of Na2SiAs2.

- Space-group type: P4/mbm, No. 127
- M_tot: 0.00 μB/cell
- ΔE_f (raw): -0.1209 eV/atom
- Excess energy over the best structure of this formula in the dataset: 1.21 eV/f.u.

Unit cell a=6.8590 b=6.8590 c=4.7001 alpha=90.00 beta=90.00 gamma=90.00
With the nearest neighbours (Å) after each atom.
Element x y z (fractional)
Na1 0.1758 0.3242 0.0000  6 As 3.00-3.17
Na2 0.3242 0.8242 0.0000  6 As 3.00-3.17
Na3 0.6758 0.1758 0.0000  6 As 3.00-3.17
Na4 0.8242 0.6758 0.0000  6 As 3.00-3.17
Si1 0.0000 0.0000 0.5000  4 As 2.68
Si2 0.5000 0.5000 0.5000  4 As 2.68
As1 0.1315 0.6315 0.5000  1 As 2.55, 2 Si 2.68
As2 0.3685 0.1315 0.5000  1 As 2.55, 2 Si 2.68
As3 0.6315 0.8685 0.5000  1 As 2.55, 2 Si 2.68
As4 0.8685 0.3685 0.5000  1 As 2.55, 2 Si 2.68

Entry 5:
VASP calculation (PBE) on an optimized crystal structure of Nd6SmCd.

- Space-group type: P4/mmm, No. 123
- M_tot: 0.00 μB/cell
- ΔE_f: -0.04 eV/atom
- Excess energy over the best structure of this formula in the dataset: 0.00 eV/f.u.

Unit cell a=5.0546 b=5.0546 c=10.3156 alpha=90.00 beta=90.00 gamma=90.00
With the nearest neighbours (Å) after each atom.
Element x y z (fractional)
Nd1 0.0000 0.0000 0.0000  8 Nd 3.56, 4 Cd 3.57
Nd2 0.0000 0.0000 0.5000  4 Sm 3.57, 8 Nd 3.66
Nd3 0.0000 0.5000 0.2437  2 Cd 3.56, 8 Nd 3.56-3.66, 2 Sm 3.66
Nd4 0.0000 0.5000 0.7563  2 Cd 3.56, 8 Nd 3.56-3.66, 2 Sm 3.66
Nd5 0.5000 0.0000 0.2437  2 Cd 3.56, 8 Nd 3.56-3.66, 2 Sm 3.66
Nd6 0.5000 0.0000 0.7563  2 Cd 3.56, 8 Nd 3.56-3.66, 2 Sm 3.66
Sm1 0.5000 0.5000 0.5000  12 Nd 3.57-3.66
Cd1 0.5000 0.5000 0.0000  12 Nd 3.56-3.57

Entry 6:
VASP calculation (PBE) on an optimized crystal structure of CuPAu3.

- Space-group type: Pm-3m, No. 221
- M_tot: 0.00 μB/cell
- ΔE_f: 0.90 eV/atom
- Excess energy over the best structure of this formula in the dataset: 2.21 eV/f.u.

Unit cell a=4.7314 b=4.7314 c=4.7314 alpha=90.00 beta=90.00 gamma=90.00
With the nearest neighbours (Å) after each atom.
Element x y z (fractional)
Cu1 0.0000 0.0000 0.0000  6 Au 2.37
P1 0.5000 0.5000 0.5000  12 Au 3.35
Au1 0.0000 0.0000 0.5000  2 Cu 2.37
Au2 0.0000 0.5000 0.0000  2 Cu 2.37
Au3 0.5000 0.0000 0.0000  2 Cu 2.37

Entry 7:
VASP calculation (PBE) on an optimized crystal structure of TlH2Pb2.

- Total energy: -2.94 eV/atom
- Space-group type: I4/mmm, No. 139
- M_tot: 0.00 μB/cell

Unit cell a=6.3051 b=6.3051 c=6.3051 alpha=139.57 beta=139.57 gamma=58.50
With the nearest neighbours (Å) after each atom.
Element x y z (fractional)
Tl1 0.0000 0.0000 0.0000  8 H 3.51, 10 Pb 3.58-3.68
H1 0.2500 0.7500 0.5000  4 Pb 2.37
H2 0.7500 0.2500 0.5000  4 Pb 2.37
Pb1 0.3348 0.3348 0.0000  4 H 2.37
Pb2 0.6652 0.6652 0.0000  4 H 2.37

Entry 8:
VASP calculation (PBE) on an optimized crystal structure of ZnMoW.

- Space-group type: Cmcm, No. 63
- M_tot: 0.00 μB/cell
- ΔE_f: 0.20 eV/atom
- Excess energy over the best structure of this formula in the dataset: 0.18 eV/f.u.

Unit cell a=6.8268 b=6.8268 c=3.3127 alpha=90.00 beta=90.00 gamma=142.82
With the nearest neighbours (Å) after each atom.
Element x y z (fractional)
Zn1 0.0827 0.9173 0.7500  2 Zn 2.71, 4 Mo 2.74, 4 W 2.84-2.97
Zn2 0.9173 0.0827 0.2500  2 Zn 2.71, 4 Mo 2.74, 4 W 2.84-2.97
Mo1 0.4179 0.5821 0.7500  2 W 2.62, 2 Mo 2.69, 4 Zn 2.74
Mo2 0.5821 0.4179 0.2500  2 W 2.62, 2 Mo 2.69, 4 Zn 2.74
W1 0.2609 0.7391 0.2500  2 Mo 2.62, 4 W 2.75, 2 Zn 2.84
W2 0.7391 0.2609 0.7500  2 Mo 2.62, 4 W 2.75, 2 Zn 2.84

Entry 9:
VASP calculation (PBE) on an optimized crystal structure of AgB.

- Space-group type: F-43m, No. 216
- M_tot: 0.00 μB/cell
- ΔE_f: 1.45 eV/atom
- Excess energy over the best structure of this formula in the dataset: 2.15 eV/f.u.

Unit cell a=3.5757 b=3.5757 c=3.5757 alpha=60.00 beta=60.00 gamma=60.00
With the nearest neighbours (Å) after each atom.
Element x y z (fractional)
Ag1 0.0000 0.0000 0.0000  4 B 2.19
B1 0.2500 0.2500 0.2500  4 Ag 2.19

Entry 10:
VASP calculation (PBE) on an optimized crystal structure of Hf2Ga2Hg.

- Space-group type: P4/mbm, No. 127
- M_tot: 0.00 μB/cell
- ΔE_f: -0.30 eV/atom
- Excess energy over the best structure of this formula in the dataset: 0.00 eV/f.u.

Unit cell a=6.9251 b=6.9251 c=3.9593 alpha=90.00 beta=90.00 gamma=90.00
With the nearest neighbours (Å) after each atom.
Element x y z (fractional)
Hf1 0.1735 0.3265 0.0000  6 Ga 2.79-2.88
Hf2 0.3265 0.8265 0.0000  6 Ga 2.79-2.88
Hf3 0.6735 0.1735 0.0000  6 Ga 2.79-2.88
Hf4 0.8265 0.6735 0.0000  6 Ga 2.79-2.88
Ga1 0.1253 0.6253 0.5000  1 Ga 2.45, 2 Hg 2.74
Ga2 0.3747 0.1253 0.5000  1 Ga 2.45, 2 Hg 2.74
Ga3 0.6253 0.8747 0.5000  1 Ga 2.45, 2 Hg 2.74
Ga4 0.8747 0.3747 0.5000  1 Ga 2.45, 2 Hg 2.74
Hg1 0.0000 0.0000 0.5000  4 Ga 2.74
Hg2 0.5000 0.5000 0.5000  4 Ga 2.74

Entry 11:
VASP calculation (PBE) on an optimized crystal structure of Er2TeSe2.

- Space-group type: C2/c, No. 15
- M_tot: 0.00 μB/cell
- ΔE_f (raw): -1.6852 eV/atom
- Excess energy over the best structure of this formula in the dataset: 0.11 eV/f.u.

Unit cell a=7.2951 b=7.2951 c=7.1398 alpha=99.81 beta=99.81 gamma=121.15
With the nearest neighbours (Å) after each atom.
Element x y z (fractional)
Er1 0.1463 0.3316 0.0083  4 Se 2.84-2.86, 2 Te 3.04-3.05
Er2 0.3316 0.1463 0.5083  4 Se 2.84-2.86, 2 Te 3.04-3.05
Er3 0.6684 0.8537 0.4917  4 Se 2.84-2.86, 2 Te 3.04-3.05
Er4 0.8537 0.6684 0.9917  4 Se 2.84-2.86, 2 Te 3.04-3.05
Te1 0.4169 0.5831 0.7500  4 Er 3.04-3.05
Te2 0.5831 0.4169 0.2500  4 Er 3.04-3.05
Se1 0.0629 0.9371 0.7500  4 Er 2.84-2.85
Se2 0.2511 0.7489 0.2500  4 Er 2.86
Se3 0.7489 0.2511 0.7500  4 Er 2.86
Se4 0.9371 0.0629 0.2500  4 Er 2.84-2.85

Entry 12:
VASP calculation (PBE) on an optimized crystal structure of Mg4Sb5.

- Space-group type: I4/mmm, No. 139
- M_tot: 0.00 μB/cell
- ΔE_f (raw): -0.0021 eV/atom

Unit cell a=7.7899 b=7.7899 c=7.7899 alpha=93.88 beta=93.88 gamma=149.85
With the nearest neighbours (Å) after each atom.
Element x y z (fractional)
Mg1 0.0000 0.3275 0.3275  7 Sb 3.19-3.48, 4 Mg 3.29
Mg2 0.0000 0.6725 0.6725  7 Sb 3.19-3.48, 4 Mg 3.29
Mg3 0.3275 0.0000 0.3275  7 Sb 3.19-3.48, 4 Mg 3.29
Mg4 0.6725 0.0000 0.6725  7 Sb 3.19-3.48, 4 Mg 3.29
Sb1 0.0000 0.0000 0.0000  8 Sb 3.30, 4 Mg 3.48
Sb2 0.3268 0.3268 0.6537  4 Sb 3.07-3.30, 4 Mg 3.19
Sb3 0.3268 0.6732 0.0000  4 Sb 3.07-3.30, 4 Mg 3.19
Sb4 0.6732 0.3268 0.0000  4 Sb 3.07-3.30, 4 Mg 3.19
Sb5 0.6732 0.6732 0.3463  4 Sb 3.07-3.30, 4 Mg 3.19

Which of these has the highest M_tot? AcDyErTl